CrGe2BO | PBE with a Hubbard U | relaxed

As for the total energy: -0.408 Ry/atom. Its crystal system is tetragonal. The calculated density is 5138 kg/m³. The calculation puts the volume at 14.48 Å³/atom.

Unit cell a=5.090 b=5.090 c=2.795 alpha=90.00 beta=90.00 gamma=90.00
Space group P4/mmm (No. 123)
Unique sites:
1 Cr 0.000 0.000 0.000 x1
2 Ge 0.000 0.500 0.500 x2
3 B 0.500 0.500 0.500 x1
4 O 0.500 0.500 0.000 x1